The following is a PBE calculation of a relaxed GeHPb crystal, from the Alexandria database.

abc: 3.433 5.951 6.319
angles: 96.96 74.24 73.24
Fractional positions:
Pb 0.945 0.750 0.361
Pb 0.055 0.250 0.639
H 0.335 0.263 0.066
H 0.665 0.737 0.934
Ge 0.176 0.793 0.855
Ge 0.824 0.207 0.145

=====

The following is a PBE calculation of a relaxed PuZrCu crystal, from the Alexandria database.

energy of formation	0.20	eV per atom
energy above the most stable polymorph in this dataset	38	kJ/mol of formula units

abc: 3.063 4.756 4.756
angles: 120.00 90.00 90.00
Fractional positions:
Cu 0.311 0.333 0.667
Zr 0.035 0.000 0.000
Pu 0.654 0.667 0.333

=====

The following is a PBE calculation of a relaxed FeSe3S crystal, from the Alexandria database.

energy above the most stable polymorph in this dataset	119	kJ/mol of formula units
ΔE_f (raw)	869	meV/atom

abc: 4.817 4.817 4.817
angles: 90.00 90.00 90.00
Fractional positions:
S 0.000 0.000 0.000
Fe 0.500 0.500 0.500
Se 0.000 0.500 0.000
Se 0.000 0.000 0.500
Se 0.500 0.000 0.000

=====

The following is a PBE calculation of a relaxed AlCdAs2 crystal, from the Alexandria database.

energy of formation	-0.14	eV per atom
energy above the most stable polymorph in this dataset	0	kJ/mol of formula units

abc: 6.018 6.018 7.170
angles: 65.19 65.19 90.00
Fractional positions:
As 0.598 0.125 0.250
As 0.152 0.625 0.250
As 0.375 0.402 0.750
As 0.875 0.848 0.750
Al 0.500 0.500 0.000
Al 0.250 0.750 0.500
Cd 0.000 0.000 0.000
Cd 0.750 0.250 0.500

=====

The following is a PBE calculation of a relaxed NaZrGe crystal, from the Alexandria database.

energy of formation	-0.10	eV per atom

abc: 4.509 4.509 8.938
angles: 75.39 75.39 60.00
Fractional positions:
Zr 0.294 0.294 0.118
Zr 0.706 0.706 0.882
Na 0.130 0.130 0.609
Na 0.870 0.870 0.391
Ge 0.407 0.407 0.780
Ge 0.593 0.593 0.220

=====

The following is a PBE calculation of a relaxed Li6AgF8 crystal, from the Alexandria database.

ΔE_f (raw)	-2468	meV/atom

abc: 5.545 5.545 5.545
angles: 94.30 94.30 94.30
Fractional positions:
Li 0.581 0.377 0.164
Li 0.164 0.581 0.377
Li 0.377 0.164 0.581
Li 0.419 0.623 0.836
Li 0.836 0.419 0.623
Li 0.623 0.836 0.419
Ag 0.000 0.000 0.000
F 0.231 0.231 0.231
F 0.769 0.769 0.769
F 0.159 0.381 0.691
F 0.691 0.159 0.381
F 0.381 0.691 0.159
F 0.841 0.619 0.309
F 0.309 0.841 0.619
F 0.619 0.309 0.841

=====

The following is a PBE calculation of a relaxed Y3AlTl4Se8 crystal, from the Alexandria database.

ΔE_f (raw)	-1178	meV/atom

abc: 8.226 9.102 8.226
angles: 116.87 120.00 90.00
Fractional positions:
Y 0.500 0.500 0.000
Y 0.500 0.500 0.500
Y 0.000 0.500 0.500
Al 0.000 0.500 0.000
Tl 0.500 0.000 0.000
Tl 0.500 0.000 0.500
Tl 0.000 0.000 0.000
Tl 0.000 0.000 0.500
Se 0.220 0.695 0.975
Se 0.220 0.695 0.440
Se 0.264 0.293 0.529
Se 0.754 0.695 0.975
Se 0.246 0.305 0.025
Se 0.736 0.707 0.471
Se 0.780 0.305 0.560
Se 0.780 0.305 0.025

=====

The following is a PBE calculation of a relaxed YTcN3 crystal, from the Alexandria database.

ΔE_f (raw)	-580	meV/atom

abc: 10.408 7.387 7.387
angles: 97.81 128.86 51.14
Fractional positions:
Y 0.750 0.159 0.659
Y 0.250 0.841 0.341
Y 0.750 0.542 0.042
Y 0.250 0.458 0.958
Tc 0.219 0.404 0.423
Tc 0.281 0.923 0.904
Tc 0.781 0.596 0.577
Tc 0.719 0.077 0.096
N 0.338 0.443 0.343
N 0.162 0.843 0.943
N 0.662 0.557 0.657
N 0.838 0.157 0.057
N 0.161 0.215 0.292
N 0.339 0.792 0.715
N 0.839 0.785 0.708
N 0.661 0.208 0.285
N 0.417 0.250 0.781
N 0.083 0.281 0.750
N 0.583 0.750 0.219
N 0.917 0.719 0.250

=====

The following is a PBE calculation of a relaxed NaPuHgAs crystal, from the Alexandria database.

energy of formation	-0.40	eV per atom

abc: 5.146 5.146 5.146
angles: 60.00 60.00 60.00
Fractional positions:
Na 0.750 0.750 0.750
As 0.000 0.000 0.000
Hg 0.500 0.500 0.500
Pu 0.250 0.250 0.250

=====

The following is a PBE calculation of a relaxed La5ErS6 crystal, from the Alexandria database.

ΔE_f (raw)	-2128	meV/atom

abc: 7.117 7.116 7.122
angles: 60.03 80.32 70.34
Fractional positions:
S 0.760 0.080 0.320
S 0.240 0.601 0.320
S 0.244 0.238 0.000
S 0.756 0.762 0.000
S 0.760 0.399 0.680
S 0.240 0.920 0.680
Er 0.000 0.000 0.000
La 0.500 0.171 0.659
La 0.000 0.334 0.333
La 0.500 0.500 0.000
La 0.000 0.666 0.667
La 0.500 0.829 0.341

=====

The following is a PBE calculation of a relaxed Tb2Ho2Hg crystal, from the Alexandria database.

energy of formation	-0.18	eV per atom
energy above the most stable polymorph in this dataset	0	kJ/mol of formula units

abc: 3.564 3.564 11.790
angles: 98.69 98.69 90.00
Fractional positions:
Tb 0.804 0.804 0.609
Tb 0.196 0.196 0.391
Ho 0.587 0.587 0.174
Ho 0.413 0.413 0.826
Hg 0.000 0.000 0.000

=====

The following is a PBE calculation of a relaxed Tb2Er5Sc4 crystal, from the Alexandria database.

energy of formation	0.17	eV per atom
energy above the most stable polymorph in this dataset	58	kJ/mol of formula units

abc: 3.378 8.621 12.098
angles: 110.87 98.03 90.00
Fractional positions:
Tb 0.269 0.269 0.538
Tb 0.731 0.731 0.462
Er 0.860 0.060 0.720
Er 0.860 0.660 0.720
Er 0.140 0.340 0.280
Er 0.140 0.940 0.280
Er 0.500 0.000 0.000
Sc 0.000 0.321 0.000
Sc 0.595 0.595 0.189
Sc 0.000 0.679 0.000
Sc 0.405 0.405 0.811

=====

no.,DFT total energy (eV/cell),magnetic moment (μB/cell)
1,-21.4,0.00
2,-26.4,5.41
3,-18.7,3.91
4,-29.0,0.00
5,-29.6,0.98
6,-66.3,1.02
7,-79.3,0.00
8,-178.8,0.00
9,-22.2,5.98
10,-79.5,0.00
11,-19.6,0.00
12,-55.5,0.00